No. 1
Below is an optimized crystal structure of LiPmFe, with properties calculated at the PBE level.

Lattice parameters (Å, degrees): 6.417 6.417 6.417 90.00 90.00 90.00
Space group F-43m (No. 216)
Inequivalent atoms, fractional coordinates:
Li1 0.000 0.000 0.000
Pm1 0.000 0.000 0.500
Fe1 0.250 0.250 0.250

M_tot: 1.9 μB/f.u.
Final energy: -4.3789 eV per atom

=====

No. 2
Below is an optimized crystal structure of InCoCuAs, with properties calculated at the PBE level.

Lattice parameters (Å, degrees): 6.249 6.249 6.249 90.00 90.00 90.00
Space group F-43m (No. 216)
Inequivalent atoms, fractional coordinates:
In1 0.000 0.000 0.000
Co1 0.250 0.250 0.750
Cu1 0.250 0.250 0.250
As1 0.000 0.000 0.500

Polymorph energy (0 for the lowest one): 0 meV per atom
M_tot: 0.0 μB/f.u.
Final energy: -4.2843 eV per atom

=====

No. 3
Below is an optimized crystal structure of CsThNp, with properties calculated at the PBE level.

Lattice parameters (Å, degrees): 7.540 7.540 7.540 90.00 90.00 90.00
Space group F-43m (No. 216)
Inequivalent atoms, fractional coordinates:
Cs1 0.000 0.000 0.000
Th1 0.250 0.250 0.250
Np1 0.250 0.250 0.750

M_tot: 4.7 μB/f.u.
Final energy: -5.0652 eV per atom